--- 1 ---
! Ac2SmY GGA-PBE optimized geometry; values from VASP
&SYSTEM
  ibrav = 0, nat = 4, ntyp = 3
/
ATOMIC_SPECIES
Sm 150.36 Sm.upf
Ac 227.00 Ac.upf
Y 88.91 Y.upf
ATOMIC_POSITIONS angstrom
Sm 0.0000 0.0000 0.0000
Ac 2.8478 -8.7186 6.2121
Y 1.8985 -5.8124 4.1414
Ac 0.9493 -2.9062 2.0707
CELL_PARAMETERS angstrom
-0.4045 -5.9904 0.5575
4.6300 -3.1377 2.2533
-0.4285 -2.4966 5.4720
! - calculated volume (Å³/f.u.) = 155
! - space group = No. 225
! - DOS at the Fermi energy (states/eV/f.u.) = 7.08

***

--- 2 ---
! Ac2SmY GGA-PBE optimized geometry; values from VASP
&SYSTEM
  ibrav = 0, nat = 4, ntyp = 3
/
ATOMIC_SPECIES
Y 88.91 Y.upf
Ac 227.00 Ac.upf
Sm 150.36 Sm.upf
ATOMIC_POSITIONS angstrom
Y 2.5897 0.0000 0.0000
Ac 0.0000 0.0000 2.7265
Ac 0.0000 2.7265 0.0000
Sm 2.5897 2.7265 2.7265
CELL_PARAMETERS angstrom
5.1794 0.0000 0.0000
0.0000 5.4530 0.0000
0.0000 0.0000 5.4530
! - calculated volume (Å³/f.u.) = 154
! - space group = No. 123
! - DOS at the Fermi energy (states/eV/f.u.) = 5.30

***

Least stable of them? 1.

***

--- 1 ---
! Ac2SmY GGA-PBE optimized geometry; values from VASP
&SYSTEM
  ibrav = 0, nat = 4, ntyp = 3
/
ATOMIC_SPECIES
Sm 150.36 Sm.upf
Y 88.91 Y.upf
Ac 227.00 Ac.upf
ATOMIC_POSITIONS angstrom
Sm 1.9444 1.9444 5.0908
Y 1.9444 1.9444 0.0000
Ac 0.0000 0.0000 2.5221
Ac 0.0000 0.0000 7.6595
CELL_PARAMETERS angstrom
3.8888 0.0000 0.0000
0.0000 3.8888 0.0000
0.0000 0.0000 10.1816
! - calculated volume (Å³/f.u.) = 154
! - space group = No. 123
! - DOS at the Fermi energy (states/eV/f.u.) = 6.66

***

--- 2 ---
! Ac2SmY GGA-PBE optimized geometry; values from VASP
&SYSTEM
  ibrav = 0, nat = 4, ntyp = 3
/
ATOMIC_SPECIES
Ac 227.00 Ac.upf
Y 88.91 Y.upf
Sm 150.36 Sm.upf
ATOMIC_POSITIONS angstrom
Ac 1.9128 1.1043 3.0280
Ac 1.9128 1.1043 9.1431
Y 5.7383 3.3130 12.1378
Sm 3.8255 2.2087 6.1180
CELL_PARAMETERS angstrom
3.8255 0.0000 0.0000
1.9128 3.3130 0.0000
1.9128 1.1043 12.1708
! - calculated volume (Å³/f.u.) = 154
! - space group = No. 160
! - DOS at the Fermi energy (states/eV/f.u.) = 6.22

***

--- 3 ---
! Ac2SmY GGA-PBE optimized geometry; values from VASP
&SYSTEM
  ibrav = 0, nat = 32, ntyp = 3
/
ATOMIC_SPECIES
Ac 227.00 Ac.upf
Y 88.91 Y.upf
Sm 150.36 Sm.upf
ATOMIC_POSITIONS angstrom
Ac 1.5733 2.1327 13.3862
Y -5.3228 8.7476 1.3199
Ac 3.5806 4.8364 6.4236
Y 10.1442 -2.2535 8.0705
Ac 1.3556 1.8124 6.6356
Ac 1.9070 3.5000 3.1543
Sm 0.3832 5.2336 11.7385
Ac 5.7380 -1.6857 3.2713
Y -1.5108 3.5606 1.4172
Ac -6.8622 10.4923 9.9049
Sm 4.5529 1.4152 1.3207
Ac 11.7984 -3.8435 3.1543
Y 10.2590 -2.0988 11.7394
Sm 4.6682 1.5705 4.9880
Y 4.0760 -0.1053 8.1677
Ac -3.0431 5.3155 10.0219
Ac 3.3629 4.5161 -0.3270
Y 6.4470 3.0882 11.6421
Ac 3.0291 3.1488 9.9049
Ac 7.4168 -0.3500 6.5271
Y -5.2080 8.9023 4.9888
Sm 4.2140 0.0674 11.8404
Ac 7.1865 -0.6602 -0.2185
Y 0.8601 6.7541 4.8915
Sm 0.2680 5.0783 8.0713
Sm -1.3854 3.7426 5.0898
Sm 6.3216 2.9062 7.9694
Ac -2.2504 7.3090 13.2777
Ac -0.8018 8.3345 9.7880
Ac 7.9793 1.3333 3.0374
Sm 0.7221 6.5814 1.2188
Ac -2.4807 6.9988 6.5321
CELL_PARAMETERS angstrom
12.1195 -4.3228 -0.2210
-7.6446 10.3503 -0.2210
0.4613 0.6213 13.5012
! - calculated volume (Å³/f.u.) = 156
! - space group = No. 15
! - DOS at the Fermi energy (states/eV/f.u.) = 6.51

***

Least stable of them? 3.

***

--- 1 ---
! AcSm3Y6 GGA-PBE optimized geometry; values from VASP
&SYSTEM
  ibrav = 0, nat = 20, ntyp = 3
/
ATOMIC_SPECIES
Y 88.91 Y.upf
Ac 227.00 Ac.upf
Sm 150.36 Sm.upf
ATOMIC_POSITIONS angstrom
Y 1.5040 5.8119 3.6954
Ac 5.2560 5.7587 1.5941
Y 6.0387 2.3053 6.4899
Sm 4.4616 5.2423 5.1181
Ac 0.7213 0.2688 5.9692
Sm 7.3783 3.6241 3.2952
Sm 8.9964 0.7852 2.4451
Y 1.5040 3.7221 1.0733
Y 8.6552 6.5453 0.9672
Y 4.1204 -0.5178 6.5961
Y 7.4440 6.7608 4.7873
Y 6.0387 0.2156 3.8678
Y 7.4440 2.8695 -0.0954
Sm 2.8435 2.4034 4.2680
Sm 4.4616 2.2083 1.3110
Y 1.6404 -2.5350 8.2037
Y 6.1752 8.5625 -0.6405
Sm 8.9964 3.8192 6.2522
Y 2.9092 -0.7333 2.7759
Y 2.9092 3.1579 7.6586
CELL_PARAMETERS angstrom
9.0694 0.0000 0.0000
0.0000 9.1490 -1.1078
0.0000 -3.1215 8.6711
! - calculated volume (Å³/f.u.) = 344
! - space group = No. 36
! - DOS at the Fermi energy (states/eV/f.u.) = 12.97

***

--- 2 ---
! AcSm3Y6 GGA-PBE optimized geometry; values from VASP
&SYSTEM
  ibrav = 0, nat = 10, ntyp = 3
/
ATOMIC_SPECIES
Y 88.91 Y.upf
Ac 227.00 Ac.upf
Sm 150.36 Sm.upf
ATOMIC_POSITIONS angstrom
Y 8.4569 1.7974 8.9457
Ac 11.4842 7.8854 10.3932
Y 6.3781 2.4417 5.7029
Y 5.6508 7.8841 7.3000
Sm 6.5857 4.5220 8.9458
Y 3.6663 4.5219 7.3962
Sm 3.0892 2.1211 4.8567
Y 10.4013 5.0754 8.7976
Sm 7.8605 5.3973 6.5436
Y 7.6345 7.2469 10.4949
CELL_PARAMETERS angstrom
8.8428 0.0000 4.6926
3.1763 8.2527 4.6926
2.2224 1.5260 6.4901
! - calculated volume (Å³/f.u.) = 347
! - space group = No. 155
! - DOS at the Fermi energy (states/eV/f.u.) = 21.91

***

Least stable of them? 2.

***

--- 1 ---
! AcSm3Y3 GGA-PBE optimized geometry; values from VASP
&SYSTEM
  ibrav = 0, nat = 7, ntyp = 3
/
ATOMIC_SPECIES
Sm 150.36 Sm.upf
Y 88.91 Y.upf
Ac 227.00 Ac.upf
ATOMIC_POSITIONS angstrom
Sm -4.5704 2.6433 -3.8009
Sm -2.3300 2.7527 1.5335
Y -0.9691 0.5369 4.1133
Sm -0.7957 5.5547 -3.2916
Y -3.6072 0.5126 -0.9814
Y 0.5392 3.7107 -0.4219
Ac -1.2443 2.1051 -2.8119
CELL_PARAMETERS angstrom
-2.3598 3.9924 -5.3327
-5.3358 -2.9352 3.2856
3.5371 3.9083 4.4828
! - calculated volume (Å³/f.u.) = 259
! - space group = No. 160
! - DOS at the Fermi energy (states/eV/f.u.) = 11.30

***

--- 2 ---
! AcSm3Y3 GGA-PBE optimized geometry; values from VASP
&SYSTEM
  ibrav = 0, nat = 28, ntyp = 3
/
ATOMIC_SPECIES
Sm 150.36 Sm.upf
Y 88.91 Y.upf
Ac 227.00 Ac.upf
ATOMIC_POSITIONS angstrom
Sm -4.8190 -1.8679 2.1881
Y -0.2213 0.2437 5.6866
Y 2.6605 0.7704 3.5634
Sm -0.5830 9.5342 3.9116
Sm -1.0692 -2.8549 6.9979
Ac 4.0578 11.3663 7.3091
Y -6.9205 0.8761 3.0667
Sm 0.0127 8.7321 7.4000
Sm 1.7298 -2.5044 4.7155
Y 1.9532 5.9160 6.5098
Y -2.3828 -5.4421 4.8033
Y 3.1315 -0.1008 6.9461
Ac -5.9111 12.3354 3.4619
Y -1.3768 6.3886 5.1763
Ac -0.7632 0.7521 2.1672
Sm -3.4747 9.0709 6.0541
Sm -2.7835 3.7795 3.1436
Y 0.7193 11.9057 6.0845
Sm 0.5618 3.4544 4.4347
Y -4.1782 1.4351 0.9241
Y -4.7638 6.5688 3.9174
Ac -3.0182 1.5333 8.2063
Sm -5.6589 3.2978 5.1346
Sm 1.2432 2.6270 7.7985
Y -3.5874 0.5709 4.3874
Sm -1.6114 -2.3339 3.5876
Y -2.5789 12.2262 4.8115
Sm -4.3653 -2.5346 5.7258
CELL_PARAMETERS angstrom
-8.3252 -5.7433 0.0429
5.0562 -7.0437 5.2073
0.2964 16.9148 3.4919
! - calculated volume (Å³/f.u.) = 259
! - space group = No. 160
! - DOS at the Fermi energy (states/eV/f.u.) = 10.61

***

Least stable of them? 1.

***

--- 1 ---
! AcSm3Y2 GGA-PBE optimized geometry; values from VASP
&SYSTEM
  ibrav = 0, nat = 12, ntyp = 3
/
ATOMIC_SPECIES
Sm 150.36 Sm.upf
Y 88.91 Y.upf
Ac 227.00 Ac.upf
ATOMIC_POSITIONS angstrom
Sm -1.7119 -5.7509 1.4371
Sm -1.0234 -2.3428 5.6154
Sm -4.9711 -4.8335 1.2258
Sm -2.7555 -2.8728 2.7973
Y -3.4549 -4.4944 6.5454
Y -3.9047 -6.7212 3.8154
Y -5.7989 -1.7645 0.0845
Sm -6.4983 -3.3861 3.8327
Sm -4.2826 -1.4254 5.4041
Ac -1.9196 -0.3994 0.6421
Ac -7.3341 -5.8594 5.9878
Y -5.3490 0.4623 2.8145
CELL_PARAMETERS angstrom
-6.5185 1.8348 -0.4225
-2.0764 -7.5550 -0.7748
-0.6590 -0.5387 7.8272
! - calculated volume (Å³/f.u.) = 210
! - space group = No. 63
! - DOS at the Fermi energy (states/eV/f.u.) = 7.19

***

--- 2 ---
! AcSm3Y2 GGA-PBE optimized geometry; values from VASP
&SYSTEM
  ibrav = 0, nat = 12, ntyp = 3
/
ATOMIC_SPECIES
Sm 150.36 Sm.upf
Ac 227.00 Ac.upf
Y 88.91 Y.upf
ATOMIC_POSITIONS angstrom
Sm 2.2391 1.3988 -0.1695
Sm 3.1238 2.5430 6.3146
Ac -0.7178 6.1209 1.7467
Ac 5.8344 0.4240 6.3146
Sm 0.5383 2.1538 4.3984
Y 1.2627 5.6362 5.0299
Y -0.3270 3.6026 7.5992
Y 5.4436 2.9422 0.4621
Sm 1.9927 4.0019 1.7467
Y 3.8539 0.9087 3.0314
Sm 4.5783 4.3911 3.6630
Sm 2.8775 5.1461 8.2308
CELL_PARAMETERS angstrom
6.8067 0.5258 -0.5372
-1.1326 6.7324 -0.5372
-0.5576 -0.7133 9.1357
! - calculated volume (Å³/f.u.) = 210
! - space group = No. 15
! - DOS at the Fermi energy (states/eV/f.u.) = 9.79

***

Least stable of them? 1.

***

--- 1 ---
! Ac2Sm2Y7 GGA-PBE optimized geometry; values from VASP
&SYSTEM
  ibrav = 0, nat = 11, ntyp = 3
/
ATOMIC_SPECIES
Y 88.91 Y.upf
Ac 227.00 Ac.upf
Sm 150.36 Sm.upf
ATOMIC_POSITIONS angstrom
Y 0.3111 -1.0954 -3.2105
Y 0.0932 -3.6292 -0.8193
Y 2.9936 -5.8459 -6.0409
Y 0.2277 -5.2107 -8.0735
Ac 0.0100 -4.5157 -4.4283
Y 3.0771 -1.7306 -1.1780
Ac 3.2947 -2.4256 -4.8231
Sm 2.9670 -5.0654 -2.1302
Y 0.0000 0.0000 0.0000
Sm 0.3378 -1.8759 -7.1212
Y 3.2116 -3.3121 -8.4321
CELL_PARAMETERS angstrom
-1.0986 -0.2060 -10.2312
6.1349 -0.8650 0.0172
-1.7315 -5.8703 0.9626
! - calculated volume (Å³/f.u.) = 386
! - space group = No. 12
! - DOS at the Fermi energy (states/eV/f.u.) = 17.47

***

--- 2 ---
! Ac2Sm2Y7 GGA-PBE optimized geometry; values from VASP
&SYSTEM
  ibrav = 0, nat = 11, ntyp = 3
/
ATOMIC_SPECIES
Y 88.91 Y.upf
Sm 150.36 Sm.upf
Ac 227.00 Ac.upf
ATOMIC_POSITIONS angstrom
Y 6.7034 10.5567 3.1349
Sm 7.8810 9.6907 6.2644
Ac 5.0634 4.1467 6.7252
Y 7.4882 6.7510 8.0348
Sm 1.3971 2.7181 1.8874
Y 3.6045 4.9512 3.2683
Y 0.0000 0.0000 0.0000
Y 5.6737 7.4577 4.8836
Ac 4.2147 8.2621 1.4266
Y 1.7899 5.6578 0.1170
Y 2.5747 1.8521 5.0169
CELL_PARAMETERS angstrom
5.7994 2.1481 0.7396
1.0012 8.7093 -0.9017
2.4774 1.5514 8.3140
! - calculated volume (Å³/f.u.) = 391
! - space group = No. 12
! - DOS at the Fermi energy (states/eV/f.u.) = 18.80

***

Least stable of them? 2.

***

--- 1 ---
! AcSm5Y3 GGA-PBE optimized geometry; values from VASP
&SYSTEM
  ibrav = 0, nat = 18, ntyp = 3
/
ATOMIC_SPECIES
Y 88.91 Y.upf
Sm 150.36 Sm.upf
Ac 227.00 Ac.upf
ATOMIC_POSITIONS angstrom
Y 10.1103 7.6342 5.2345
Sm 10.9837 4.6324 8.1909
Y 4.9180 3.7135 2.5701
Sm 2.4491 1.8493 0.9741
Sm 10.6648 4.3916 4.1262
Sm 7.4623 9.2960 8.1909
Y 0.0000 0.0000 0.0000
Sm 4.3789 6.8674 1.4642
Ac 5.4876 4.1436 5.9762
Y 13.2091 9.9740 9.7470
Sm 10.6443 8.0374 8.7166
Sm 7.4827 5.6501 3.6005
Sm 7.8038 2.3317 1.4642
Ac 12.6395 9.5440 6.3409
Y 8.0168 6.0534 7.0825
Sm 15.6779 11.8383 11.3430
Sm 7.1433 9.0552 4.1262
Y 2.9722 2.2443 4.6943
CELL_PARAMETERS angstrom
9.5896 -0.0334 1.4642
2.5931 9.2324 1.4642
5.9444 4.4885 9.3886
! - calculated volume (Å³/f.u.) = 353
! - space group = No. 12
! - DOS at the Fermi energy (states/eV/f.u.) = 14.63

***

--- 2 ---
! AcSm5Y3 GGA-PBE optimized geometry; values from VASP
&SYSTEM
  ibrav = 0, nat = 18, ntyp = 3
/
ATOMIC_SPECIES
Sm 150.36 Sm.upf
Y 88.91 Y.upf
Ac 227.00 Ac.upf
ATOMIC_POSITIONS angstrom
Sm 6.7444 1.8515 1.5643
Y 0.0000 0.0000 0.0000
Ac 0.3809 -2.6190 7.7821
Sm 6.3275 -0.9816 3.3467
Y 3.4930 0.1282 1.2212
Y 4.2857 1.9298 4.3444
Sm 5.5247 -2.7600 0.0767
Sm 2.4685 -3.3074 1.1259
Sm 3.2713 -1.5290 4.3959
Sm 2.0517 -6.1405 2.9082
Y 4.5103 -6.2187 0.1281
Sm 2.8106 -4.4730 5.9761
Ac -0.0579 -2.0904 3.3026
Sm 5.9854 0.1840 -1.5036
Y 0.7812 1.7251 3.1677
Sm 0.8256 0.3086 6.0781
Sm -0.5026 -5.0180 5.0067
Y 5.3031 -4.4172 3.2513
CELL_PARAMETERS angstrom
-1.2394 -8.1596 4.7494
8.4731 0.4204 -6.6122
1.5624 3.4502 6.3354
! - calculated volume (Å³/f.u.) = 313
! - space group = No. 74
! - DOS at the Fermi energy (states/eV/f.u.) = 13.08

***

Least stable of them? 1.

***

--- 1 ---
! Ac2Sm3Y4 GGA-PBE optimized geometry; values from VASP
&SYSTEM
  ibrav = 0, nat = 9, ntyp = 3
/
ATOMIC_SPECIES
Y 88.91 Y.upf
Sm 150.36 Sm.upf
Ac 227.00 Ac.upf
ATOMIC_POSITIONS angstrom
Y -2.7134 -2.2577 0.1536
Sm -6.0191 -2.2672 3.1901
Sm 0.0000 0.0000 0.0000
Y -5.3560 -4.6581 0.7059
Ac -2.8363 -4.0006 3.4359
Sm 0.0016 -1.5942 3.1850
Ac -3.1811 0.1392 2.9392
Y -3.3040 -1.6037 6.2215
Y -0.6614 0.7967 5.6692
CELL_PARAMETERS angstrom
-3.5321 4.3949 2.2015
-4.9227 -7.2219 -1.8018
2.4374 -1.0344 5.9753
! - calculated volume (Å³/f.u.) = 319
! - space group = No. 12
! - DOS at the Fermi energy (states/eV/f.u.) = 18.14

***

--- 2 ---
! Ac2Sm3Y4 GGA-PBE optimized geometry; values from VASP
&SYSTEM
  ibrav = 0, nat = 9, ntyp = 3
/
ATOMIC_SPECIES
Ac 227.00 Ac.upf
Sm 150.36 Sm.upf
Y 88.91 Y.upf
ATOMIC_POSITIONS angstrom
Ac 1.8569 1.0721 23.4504
Sm 0.0000 0.0000 8.9751
Y 0.0000 0.0000 20.3767
Sm 0.0000 0.0000 26.6385
Sm 1.8569 1.0721 17.5201
Y 1.8569 1.0721 11.8585
Y 1.8569 1.0721 6.1678
Y 0.0000 0.0000 14.6502
Ac 1.8569 1.0721 2.5827
CELL_PARAMETERS angstrom
3.7137 0.0000 0.0000
-1.8569 3.2162 0.0000
0.0000 0.0000 27.1101
! - calculated volume (Å³/f.u.) = 324
! - space group = No. 156
! - DOS at the Fermi energy (states/eV/f.u.) = 15.72

***

Least stable of them? 1.

***

--- 1 ---
! Ac2Sm4Y5 GGA-PBE optimized geometry; values from VASP
&SYSTEM
  ibrav = 0, nat = 11, ntyp = 3
/
ATOMIC_SPECIES
Sm 150.36 Sm.upf
Y 88.91 Y.upf
Ac 227.00 Ac.upf
ATOMIC_POSITIONS angstrom
Sm 10.2708 9.3098 8.9253
Sm 6.8472 8.0510 5.5192
Sm 3.4236 3.4601 2.4905
Y 3.4236 6.3850 5.7079
Y 5.2060 6.5080 8.6323
Ac 6.8472 2.2441 2.9228
Y 8.4884 6.2619 2.7835
Sm 6.8472 4.7189 5.8966
Ac 6.8472 10.5259 8.4930
Y 8.4884 6.5080 8.6323
Y 5.2060 6.2619 2.7835
CELL_PARAMETERS angstrom
6.8472 0.0000 0.0000
3.4236 7.9801 2.6314
3.4236 4.7899 8.7843
! - calculated volume (Å³/f.u.) = 394
! - space group = No. 12
! - DOS at the Fermi energy (states/eV/f.u.) = 16.14

***

--- 2 ---
! Ac2Sm4Y5 GGA-PBE optimized geometry; values from VASP
&SYSTEM
  ibrav = 0, nat = 11, ntyp = 3
/
ATOMIC_SPECIES
Sm 150.36 Sm.upf
Y 88.91 Y.upf
Ac 227.00 Ac.upf
ATOMIC_POSITIONS angstrom
Sm 5.7923 -10.2564 -2.9971
Y 2.5864 -6.3294 0.0314
Sm 5.1867 -6.5630 -2.6821
Y 2.1975 -2.8668 -0.2226
Y 4.3383 -5.1460 -5.8821
Y 4.7272 -8.6086 -5.6282
Sm 1.7380 -4.9124 -3.1686
Sm 1.1325 -1.2190 -2.8536
Ac 2.1832 -2.3013 -6.0153
Ac 4.7416 -9.1740 0.1645
Y -1.4062 -1.0700 -0.1010
CELL_PARAMETERS angstrom
-2.8123 -2.1400 -0.2020
1.2257 -0.7764 -8.8414
8.5113 -8.5590 3.1926
! - calculated volume (Å³/f.u.) = 390
! - space group = No. 12
! - DOS at the Fermi energy (states/eV/f.u.) = 23.02

***

Least stable of them? 2.